No. 1
Density functional theory data (GGA-PBEsol) for crystalline AlTlGa2W at its relaxed geometry.

Formation energy, eV/atom: 0.801
Final energy, Ry per atom: -0.341
Magnetization, μB per formula unit: 0.0

Cell lengths 4.903, 4.903, 5.284 Å; angles 90.00, 90.00, 90.00 degrees
Element x y z (fractional)
Al1 0.000 0.000 0.000
Tl1 0.500 0.500 0.000
Ga1 0.000 0.500 0.500
Ga2 0.500 0.000 0.500
W1 0.500 0.500 0.500


No. 2
Density functional theory data (GGA-PBEsol) for crystalline LiAl2Ag at its relaxed geometry.

Formation energy, eV/atom: -0.108
Final energy, Ry per atom: -0.255
Magnetization, μB per formula unit: 0.0

Cell lengths 4.819, 4.819, 4.913 Å; angles 97.86, 97.86, 34.12 degrees
Element x y z (fractional)
Li1 0.000 0.000 0.000
Al1 0.500 0.500 0.497
Al2 0.756 0.756 0.256
Ag1 0.245 0.245 0.762


No. 3
Density functional theory data (GGA-PBEsol) for crystalline KTiB3 at its relaxed geometry.

Formation energy, eV/atom: 3.066
Final energy, Ry per atom: -0.223
Magnetization, μB per formula unit: 0.0

Cell lengths 4.145, 4.145, 4.145 Å; angles 90.00, 90.00, 90.00 degrees
Element x y z (fractional)
K1 0.000 0.000 0.000
Ti1 0.500 0.500 0.500
B1 0.000 0.000 0.500
B2 0.000 0.500 0.000
B3 0.500 0.000 0.000


No. 4
Density functional theory data (GGA-PBEsol) for crystalline KPb3 at its relaxed geometry.

Formation energy, eV/atom: -0.073
Final energy, Ry per atom: -0.247
Magnetization, μB per formula unit: 0.0

Cell lengths 5.898, 5.898, 6.668 Å; angles 97.71, 97.71, 34.72 degrees
Element x y z (fractional)
K1 0.000 0.000 0.000
Pb1 0.244 0.244 0.702
Pb2 0.500 0.500 0.500
Pb3 0.756 0.756 0.298


No. 5
Density functional theory data (GGA-PBEsol) for crystalline Li2TlSe at its relaxed geometry.

Final energy, Ry per atom: -0.246
Uncorrected formation energy, meV/atom: -745.4
Magnetization, μB per formula unit: 0.0

Cell lengths 6.583, 6.583, 6.583 Å; angles 35.35, 35.35, 35.35 degrees
Element x y z (fractional)
Li1 0.000 0.000 0.000
Li2 0.232 0.232 0.232
Tl1 0.449 0.449 0.449
Se1 0.613 0.613 0.613


No. 6
Density functional theory data (GGA-PBEsol) for crystalline TaP4S5Cl5 at its relaxed geometry.

Final energy, Ry per atom: -0.377
Uncorrected formation energy, meV/atom: -622.7
Magnetization, μB per formula unit: 0.0

Cell lengths 6.575, 10.104, 12.792 Å; angles 98.63, 104.06, 107.69 degrees
Element x y z (fractional)
Ta1 0.122 0.232 0.345
Ta2 0.878 0.768 0.655
P1 0.235 0.196 0.909
P2 0.407 0.671 0.986
P3 0.409 0.088 0.813
P4 0.448 0.400 0.757
P5 0.552 0.600 0.243
P6 0.591 0.912 0.187
P7 0.593 0.329 0.014
P8 0.765 0.804 0.091
S1 0.153 0.325 0.808
S2 0.311 0.521 0.082
S3 0.312 0.850 0.047
S4 0.316 0.878 0.750
S5 0.474 0.201 0.693
S6 0.526 0.799 0.307
S7 0.684 0.122 0.250
S8 0.688 0.150 0.953
S9 0.689 0.479 0.918
S10 0.847 0.675 0.192
Cl1 0.042 0.294 0.508
Cl2 0.052 0.431 0.293
Cl3 0.106 0.010 0.375
Cl4 0.149 0.161 0.166
Cl5 0.499 0.341 0.422
Cl6 0.501 0.659 0.578
Cl7 0.851 0.839 0.834
Cl8 0.894 0.990 0.625
Cl9 0.948 0.569 0.707
Cl10 0.958 0.706 0.492